La2AgSb | PBEsol | optimized geometry

The structure in CIF format:
```
data_La2AgSb
_symmetry_space_group_name_H-M 'P 4/m m m'
_symmetry_Int_Tables_number 123
_symmetry_space_group_name_Hall '-P 4 2'
_cell_length_a 5.231
_cell_length_b 5.231
_cell_length_c 4.050
_cell_angle_alpha 90.00
_cell_angle_beta 90.00
_cell_angle_gamma 90.00
loop_
_atom_site_label
_atom_site_fract_x
_atom_site_fract_y
_atom_site_fract_z
La1 0.000 0.500 0.000
Ag1 0.000 0.000 0.500
Sb1 0.500 0.500 0.500
```

## Properties
**Raw total energy**: -21.32 eV for the cell shown
**Calculated volume**: 27.702 Å³ per atom